Material: Ba2LiSc
Method: DFT, PBE
State: relaxed

Computed properties:
- electronic total energy (eV/cell) = -38.93
- crystal system = tetragonal
- offset from the most stable computed form (kJ/mol of formula units) = 143
- DOS(E_F) (states/eV per cell) = 20.42

Unit cell a=5.0370 b=5.0370 c=24.8657 alpha=90.00 beta=90.00 gamma=90.00
Space group I-42d (No. 122)
Asymmetric unit:
1 Ba 0.2447 0.2500 0.1250
2 Li 0.0000 0.0000 0.0000
3 Sc 0.0000 0.0000 0.5000